Record 1
LiHfMnAu2 | PBE | relaxed

ΔE_f	0.641	eV per atom

a b c (Å): 5.252 4.780 5.252
angles (deg): 90.00 90.00 90.00
Each line ends with the local moment (μB).
Element x y z (fractional)
Hf (0.000, 0.000, 0.000)  -0.45
Li (0.500, 0.500, 0.500)  0.00
Au (0.500, 0.000, 0.000)  -0.03
Au (0.000, 0.000, 0.500)  0.01
Mn (0.000, 0.500, 0.000)  3.15

Record 2
Li2HfAuN | PBE | relaxed

raw formation energy	-16.77	kcal/mol of atoms

a b c (Å): 4.121 4.121 4.265
angles (deg): 90.00 90.00 90.00
Element x y z (fractional)
Li (0.500, 0.000, 0.000)
Li (0.000, 0.500, 0.000)
Hf (0.000, 0.000, 0.500)
Au (0.500, 0.500, 0.500)
N (0.000, 0.000, 0.000)

Record 3
LiHf2AuN | PBE | relaxed

raw formation energy	-20.29	kcal/mol of atoms

a b c (Å): 4.396 4.396 4.007
angles (deg): 90.00 90.00 90.00
Element x y z (fractional)
Hf (0.500, 0.000, 0.000)
Li (0.000, 0.000, 0.500)
N (0.000, 0.000, 0.000)
Au (0.500, 0.500, 0.500)
Hf (0.000, 0.500, 0.000)

| no. | total magnetization (μB/cell) |
| --- | --- |
| 1 | 2.75 |
| 2 | 0.00 |
| 3 | 0.00 |